Crystalline Cr2FeCoO6 at its relaxed geometry. Source: Alexandria via LeMat-Bulk, functional PBE+U.

Total energy ... -6.955 eV per atom

Unit cell a=4.9744 b=4.9744 c=13.5171 alpha=90.00 beta=90.00 gamma=120.00
Space group R3 (No. 146, hexagonal axes)
One atom of each set of equivalent atoms:
Cr 0.0000 0.0000 0.0000 [3 per cell]
Cr 0.0000 0.0000 0.4989 [3 per cell]
Fe 0.0000 0.0000 0.3004 [3 per cell]
Co 0.0000 0.0000 0.8038 [3 per cell]
O 0.0082 0.7035 0.8989 [9 per cell]
O 0.0134 0.3112 0.3998 [9 per cell]